Record 1
Compound: LaP2IrRh2
Source: Alexandria via LeMat-Bulk
Functional: PBE-GGA
Structure: relaxed

Results
Total magnetic moment   0.0000 μB per atom
Calculated formation energy   -724 meV/atom

abc: 4.011 5.259 11.217
angles: 90.00 90.00 90.00
Element x y z (fractional)
La 0.500 0.500 0.000
La 0.000 0.000 0.500
P 0.500 0.677 0.316
P 0.500 0.323 0.684
P 0.000 0.823 0.816
P 0.000 0.177 0.184
Ir 0.000 0.000 0.000
Ir 0.500 0.500 0.500
Rh 0.500 0.969 0.176
Rh 0.000 0.469 0.324
Rh 0.500 0.031 0.824
Rh 0.000 0.531 0.676

***

Record 2
Compound: La2P3Ir4Ru
Source: Alexandria via LeMat-Bulk
Functional: PBE-GGA
Structure: relaxed

Results
Total magnetic moment   0.0000 μB per atom
Calculated formation energy   -787 meV/atom

abc: 4.177 4.177 10.087
angles: 90.00 90.00 90.00
Element x y z (fractional)
La 0.500 0.000 0.248
La 0.000 0.500 0.752
P 0.000 0.000 0.500
P 0.500 0.000 0.865
P 0.000 0.500 0.135
Ir 0.500 0.500 0.000
Ir 0.000 0.000 0.000
Ir 0.500 0.000 0.631
Ir 0.000 0.500 0.369
Ru 0.500 0.500 0.500